Here is an optimized crystal structure of Hf3Ti2NbN6 from Alexandria. Energies are from PBE.

Computed properties:
Formation energy without anion corrections, eV per atom: -1.608
DFT total energy, eV/atom: -10.414
Volume, Å³ per cell: 131
Total magnetic moment, Bohr magnetons per cell: 0.00

Unit cell a=5.456 b=5.456 c=5.406 alpha=99.71 beta=99.71 gamma=119.97
Fractional coordinates of all 12 atoms:
Hf 0.000 0.000 0.000
Hf 0.334 0.666 0.000
Hf 0.666 0.334 0.000
Ti 0.166 0.834 0.500
Ti 0.834 0.166 0.500
Nb 0.500 0.500 0.500
N 0.075 0.418 0.252
N 0.240 0.240 0.747
N 0.418 0.075 0.252
N 0.582 0.925 0.748
N 0.760 0.760 0.253
N 0.925 0.582 0.748

---

Here is an optimized crystal structure of Hf2TiNbN from Alexandria. Energies are from PBE.

Computed properties:
Formation energy without anion corrections, eV per atom: -0.726
DFT total energy, eV/atom: -9.966
Volume, Å³ per cell: 83
Total magnetic moment, Bohr magnetons per cell: 0.00

Unit cell a=4.496 b=4.496 c=4.113 alpha=90.00 beta=90.00 gamma=90.00
Fractional coordinates of all 5 atoms:
Hf 0.000 0.500 0.000
Hf 0.500 0.000 0.000
Ti 0.000 0.000 0.500
Nb 0.500 0.500 0.500
N 0.000 0.000 0.000

---

Look up the volume of the first one.
131 Å³ per cell

---

What is the DFT total energy in the first record?
-10.414 eV/atom